Entry 1:
## Sn2MoPd2 (PBE)

Data for a relaxed Sn2MoPd2 crystal.

Values from the calculation:
* ΔE to the lowest computed polymorph: 0 meV/atom

a = 7.7325 Å, b = 7.7325 Å, c = 3.0506 Å
α = 90.00°, β = 90.00°, γ = 90.00°
With the nearest neighbours (Å) after each atom.
Element x y z (fractional)
1 Sn 0.1571 0.3429 0.0000  6 Pd 2.68-2.77, 2 Mo 2.92
2 Sn 0.3429 0.8429 0.0000  6 Pd 2.68-2.77, 2 Mo 2.92
3 Sn 0.6571 0.1571 0.0000  6 Pd 2.68-2.77, 2 Mo 2.92
4 Sn 0.8429 0.6571 0.0000  6 Pd 2.68-2.77, 2 Mo 2.92
5 Mo 0.0000 0.0000 0.0000  4 Sn 2.92, 2 Mo 3.05
6 Mo 0.5000 0.5000 0.0000  4 Sn 2.92, 2 Mo 3.05
7 Pd 0.1409 0.6409 0.5000  6 Sn 2.68-2.77
8 Pd 0.3591 0.1409 0.5000  6 Sn 2.68-2.77
9 Pd 0.6409 0.8591 0.5000  6 Sn 2.68-2.77
10 Pd 0.8591 0.3591 0.5000  6 Sn 2.68-2.77

Entry 2:
## Sn2MoPd (PBE)

Data for a relaxed Sn2MoPd crystal.

Values from the calculation:
* ΔE to the lowest computed polymorph: 297 meV/atom

a = 7.3022 Å, b = 7.3022 Å, c = 6.1665 Å
α = 90.00°, β = 90.00°, γ = 90.00°
With the nearest neighbours (Å) after each atom.
Element x y z (fractional)
1 Sn 0.2336 0.2500 0.1250  2 Pd 2.61, 2 Mo 2.78
2 Sn 0.2500 0.7336 0.3750  2 Pd 2.61, 2 Mo 2.78
3 Sn 0.2500 0.7664 0.8750  2 Pd 2.61, 2 Mo 2.78
4 Sn 0.2664 0.2500 0.6250  2 Pd 2.61, 2 Mo 2.78
5 Sn 0.7336 0.7500 0.6250  2 Pd 2.61, 2 Mo 2.78
6 Sn 0.7500 0.2336 0.8750  2 Pd 2.61, 2 Mo 2.78
7 Sn 0.7500 0.2664 0.3750  2 Pd 2.61, 2 Mo 2.78
8 Sn 0.7664 0.7500 0.1250  2 Pd 2.61, 2 Mo 2.78
9 Mo 0.0000 0.0000 0.5000  4 Sn 2.78, 2 Pd 3.08
10 Mo 0.0000 0.5000 0.7500  4 Sn 2.78, 2 Pd 3.08
11 Mo 0.5000 0.0000 0.2500  4 Sn 2.78, 2 Pd 3.08
12 Mo 0.5000 0.5000 0.0000  4 Sn 2.78, 2 Pd 3.08
13 Pd 0.0000 0.0000 0.0000  4 Sn 2.61
14 Pd 0.0000 0.5000 0.2500  4 Sn 2.61
15 Pd 0.5000 0.0000 0.7500  4 Sn 2.61
16 Pd 0.5000 0.5000 0.5000  4 Sn 2.61

Entry 3:
## Sn3MoPd12 (PBE)

Data for a relaxed Sn3MoPd12 crystal.

a = 4.0119 Å, b = 4.0119 Å, c = 16.0896 Å
α = 90.00°, β = 90.00°, γ = 90.00°
With the nearest neighbours (Å) after each atom.
Element x y z (fractional)
1 Sn 0.0000 0.0000 0.0000  12 Pd 2.84-2.86
2 Sn 0.0000 0.0000 0.2501  12 Pd 2.82-2.92
3 Sn 0.0000 0.0000 0.7499  12 Pd 2.82-2.92
4 Mo 0.0000 0.0000 0.5000  12 Pd 2.76-2.84
5 Pd 0.0000 0.5000 0.1266  4 Sn 2.82-2.86, 8 Pd 2.84-2.88
6 Pd 0.0000 0.5000 0.3820  8 Pd 2.76-2.87, 2 Mo 2.76, 2 Sn 2.92
7 Pd 0.0000 0.5000 0.6180  8 Pd 2.76-2.87, 2 Mo 2.76, 2 Sn 2.92
8 Pd 0.0000 0.5000 0.8734  4 Sn 2.82-2.86, 8 Pd 2.84-2.88
9 Pd 0.5000 0.0000 0.1266  4 Sn 2.82-2.86, 8 Pd 2.84-2.88
10 Pd 0.5000 0.0000 0.3820  8 Pd 2.76-2.87, 2 Mo 2.76, 2 Sn 2.92
11 Pd 0.5000 0.0000 0.6180  8 Pd 2.76-2.87, 2 Mo 2.76, 2 Sn 2.92
12 Pd 0.5000 0.0000 0.8734  4 Sn 2.82-2.86, 8 Pd 2.84-2.88
13 Pd 0.5000 0.5000 0.0000  4 Sn 2.84, 8 Pd 2.86
14 Pd 0.5000 0.5000 0.2548  4 Sn 2.84, 8 Pd 2.87-2.88
15 Pd 0.5000 0.5000 0.5000  8 Pd 2.76, 4 Mo 2.84
16 Pd 0.5000 0.5000 0.7452  4 Sn 2.84, 8 Pd 2.87-2.88

| no. | formation energy (eV/atom) | DOS at the Fermi energy (states/eV/cell) |
| --- | --- | --- |
| 1 | -0.01 | 5.6 |
| 2 | 0.38 | 0.9 |
| 3 | -0.37 | 5.8 |